Record 1
VASP calculation (PBE) on Ac2MgZnHg6 after structural relaxation.

Summary:
crystal system: triclinic
ΔE_f: -0.26 eV per atom

CIF file:
```
data_Ac2MgZnHg6
_symmetry_space_group_name_H-M 'P -1'
_symmetry_Int_Tables_number 2
_cell_length_a 5.9479
_cell_length_b 7.3174
_cell_length_c 7.4170
_cell_angle_alpha 76.92
_cell_angle_beta 68.24
_cell_angle_gamma 67.00
loop_
_symmetry_equiv_pos_as_xyz
'x,y,z'
'-x,-y,-z'
loop_
_atom_site_label
_atom_site_type_symbol
_atom_site_fract_x
_atom_site_fract_y
_atom_site_fract_z
Ac1 Ac 0.0056 0.2326 0.2578
Mg1 Mg 0.5000 0.5000 0.0000
Zn1 Zn 0.5000 0.0000 0.5000
Hg1 Hg 0.0023 0.6977 0.2918
Hg2 Hg 0.3499 0.9168 0.9059
Hg3 Hg 0.4981 0.6847 0.3208
```

=====

Record 2
VASP calculation (PBE) on Ac2MgZn3Hg4 after structural relaxation.

Summary:
crystal system: tetragonal
ΔE_f: -0.31 eV per atom

CIF file:
```
data_Ac2MgZn3Hg4
_symmetry_space_group_name_H-M 'P -4 m 2'
_symmetry_Int_Tables_number 115
_cell_length_a 4.7094
_cell_length_b 4.7094
_cell_length_c 11.1193
_cell_angle_alpha 90.00
_cell_angle_beta 90.00
_cell_angle_gamma 90.00
loop_
_symmetry_equiv_pos_as_xyz
'x,y,z'
'y,-x,-z'
'-x,-y,z'
'-y,x,-z'
'-x,y,z'
'-y,-x,-z'
'x,-y,z'
'y,x,-z'
loop_
_atom_site_label
_atom_site_type_symbol
_atom_site_fract_x
_atom_site_fract_y
_atom_site_fract_z
Ac1 Ac 0.0000 0.5000 0.2428
Mg1 Mg 0.0000 0.0000 0.5000
Zn1 Zn 0.0000 0.5000 0.8684
Zn2 Zn 0.5000 0.5000 0.5000
Hg1 Hg 0.0000 0.0000 0.0000
Hg2 Hg 0.0000 0.5000 0.6333
Hg3 Hg 0.5000 0.5000 0.0000
```

=====

Record 3
VASP calculation (PBE) on AcMgZn2Hg4 after structural relaxation.

Summary:
crystal system: trigonal
ΔE_f: -0.21 eV per atom

CIF file:
```
data_AcMgZn2Hg4
_symmetry_space_group_name_H-M 'R -3 m'
_symmetry_Int_Tables_number 166
_symmetry_space_group_name_Hall '-R 3 2"'
_cell_length_a 4.7329
_cell_length_b 4.7329
_cell_length_c 29.3662
_cell_angle_alpha 90.00
_cell_angle_beta 90.00
_cell_angle_gamma 120.00
loop_
_atom_site_label
_atom_site_type_symbol
_atom_site_fract_x
_atom_site_fract_y
_atom_site_fract_z
Ac1 Ac 0.0000 0.0000 0.0000
Mg1 Mg 0.0000 0.0000 0.5000
Zn1 Zn 0.0000 0.0000 0.2430
Hg1 Hg 0.0000 0.0000 0.1287
Hg2 Hg 0.0000 0.0000 0.3965
```

=====

Question: Which value of ΔE_f does entry 3 give?
Answer: -0.21 eV per atom

=====

Question: Look up the ΔE_f of the first one.
Answer: -0.26 eV per atom

=====

Question: Which value of ΔE_f does entry 3 give?
Answer: -0.21 eV per atom

=====

Question: What is the formula in the second record?
Answer: Ac2MgZn3Hg4